Record 1
This record from Alexandria via LeMat-Bulk describes BaCd2ReN4 after structural relaxation. The functional is GGA-PBE.

Output
Energy relative to the elements, uncorrected, eV/atom: -0.1073

Unit cell a=5.8978 b=5.9266 c=8.1727 alpha=90.00 beta=90.00 gamma=90.00
With the nearest neighbours (Å) after each atom.
Fractional coordinates of all 16 atoms:
N (0.3167, 0.2549, 0.0000)  1 Re 1.86
N (0.3762, 0.6649, 0.6856)  1 Re 1.85
N (0.8167, 0.7451, 0.5000)  1 Re 1.86
N (0.8762, 0.3351, 0.8144)  1 Re 1.85
N (0.9531, 0.8983, 0.0000)  1 Re 1.87
N (0.3762, 0.6649, 0.3144)  1 Re 1.85
N (0.4531, 0.1017, 0.5000)  1 Re 1.87
N (0.8762, 0.3351, 0.1856)  1 Re 1.85
Cd (0.9957, 0.6986, 0.2473)  4 N 2.32-2.36
Cd (0.4957, 0.3014, 0.7473)  4 N 2.32-2.36
Cd (0.9957, 0.6986, 0.7527)  4 N 2.32-2.36
Cd (0.4957, 0.3014, 0.2527)  4 N 2.32-2.36
Ba (0.9816, 0.2011, 0.5000)  4 N 2.76-2.87
Ba (0.4816, 0.7989, 0.0000)  4 N 2.76-2.87
Re (0.5046, 0.7906, 0.5000)  4 N 1.85-1.87
Re (0.0046, 0.2094, 0.0000)  4 N 1.85-1.87

=====

Record 2
This record from Alexandria via LeMat-Bulk describes ScCu2H8Ir after structural relaxation. The functional is GGA-PBE.

Output
Electronic total energy, eV/f.u.: -51.76

Unit cell a=4.2334 b=4.5135 c=5.6909 alpha=66.19 beta=89.71 gamma=96.84
With the nearest neighbours (Å) after each atom.
Fractional coordinates of all 12 atoms:
H (0.7092, 0.0705, 0.1675)  1 Ir 1.69, 1 Cu 1.83
H (0.0499, 0.6437, 0.2573)  1 Cu 1.71, 1 Ir 1.72
H (0.2251, 0.2549, 0.1005)  1 Ir 1.68
H (0.4918, 0.7299, 0.5716)  2 Cu 1.73-1.76
H (0.7749, 0.7451, 0.8995)  1 Ir 1.68
H (0.9501, 0.3563, 0.7427)  1 Cu 1.71, 1 Ir 1.72
H (0.5082, 0.2701, 0.4284)  2 Cu 1.73-1.76
H (0.2908, 0.9295, 0.8325)  1 Ir 1.69, 1 Cu 1.83
Cu (0.4538, 0.6772, 0.2821)  4 H 1.71-1.83
Cu (0.5462, 0.3228, 0.7179)  4 H 1.71-1.83
Sc (0.0000, 0.0000, 0.5000)  6 H 2.20-2.29
Ir (0.0000, 0.0000, 0.0000)  6 H 1.68-1.72